VASP calculation (GGA-PBE) on crystalline Ac3TlHg at its relaxed geometry.

Cell lengths 11.340, 11.340, 5.770 Å; angles 90.00, 90.00, 150.53 degrees
Positions (direct):
Ac 0.060 0.940 0.750
Ac 0.247 0.753 0.750
Ac 0.434 0.566 0.750
Ac 0.566 0.434 0.250
Ac 0.753 0.247 0.250
Ac 0.940 0.060 0.250
Tl 0.154 0.846 0.250
Tl 0.846 0.154 0.750
Hg 0.347 0.653 0.250
Hg 0.653 0.347 0.750

symmetry	Cmcm (63)
energy above the most stable polymorph in this dataset	0	meV per atom
ρ	9.88	g cm⁻³
DFT total energy	-3.313	eV/atom
crystal system	orthorhombic

---

VASP calculation (GGA-PBE) on crystalline Er2Tc2Ge2C at its relaxed geometry.

Cell lengths 5.825, 5.825, 6.952 Å; angles 123.37, 123.37, 40.01 degrees
Positions (direct):
Er 0.067 0.067 0.290
Er 0.933 0.933 0.710
Tc 0.298 0.298 0.913
Tc 0.702 0.702 0.087
Ge 0.354 0.354 0.324
Ge 0.646 0.646 0.676
C 0.500 0.500 0.000

symmetry	C2/m (12)
ρ	9.29	g cm⁻³
DFT total energy	-7.494	eV/atom
crystal system	monoclinic

---

VASP calculation (GGA-PBE) on crystalline Ni4MoPtRh2 at its relaxed geometry.

Cell lengths 5.181, 7.095, 7.095 Å; angles 76.12, 68.63, 68.64 degrees
Positions (direct):
Ni 0.236 0.260 0.260
Ni 0.248 0.752 0.250
Ni 0.250 0.250 0.752
Ni 0.257 0.740 0.740
Ni 0.743 0.260 0.260
Ni 0.750 0.750 0.248
Ni 0.752 0.248 0.750
Ni 0.764 0.740 0.740
Mo 0.000 0.500 0.500
Mo 0.500 0.500 0.500
Pt 0.500 0.000 0.500
Pt 0.500 0.500 0.000
Rh 0.000 0.000 0.000
Rh 0.000 0.000 0.500
Rh 0.000 0.500 0.000
Rh 0.500 0.000 0.000

symmetry	P-1 (2)
ρ	10.82	g cm⁻³
DFT total energy	-6.430	eV/atom
crystal system	triclinic

---

VASP calculation (GGA-PBE) on crystalline TaNb2Tc3 at its relaxed geometry.

Cell lengths 3.192, 3.192, 9.566 Å; angles 90.00, 90.00, 90.00 degrees
Positions (direct):
Ta 0.000 0.000 0.000
Nb 0.000 0.000 0.333
Nb 0.000 0.000 0.667
Tc 0.500 0.500 0.166
Tc 0.500 0.500 0.500
Tc 0.500 0.500 0.834

symmetry	P4/mmm (123)
ρ	11.25	g cm⁻³
DFT total energy	-10.912	eV/atom
crystal system	tetragonal

---

VASP calculation (GGA-PBE) on crystalline TlTc2Pt at its relaxed geometry.

Cell lengths 5.046, 5.046, 2.911 Å; angles 90.00, 90.00, 115.62 degrees
Positions (direct):
Tl 0.000 0.000 0.000
Tc 0.000 0.500 0.500
Tc 0.500 0.000 0.500
Pt 0.500 0.500 0.000

symmetry	Cmmm (65)
energy above the most stable polymorph in this dataset	345	meV per atom
ρ	14.80	g cm⁻³
DFT total energy	-6.746	eV/atom
crystal system	orthorhombic

---

VASP calculation (GGA-PBE) on crystalline K2RuO4 at its relaxed geometry.

Cell lengths 5.689, 6.251, 7.808 Å; angles 90.00, 106.01, 90.00 degrees
Positions (direct):
K 0.108 0.250 0.119
K 0.217 0.750 0.518
K 0.783 0.250 0.482
K 0.892 0.750 0.881
Ru 0.388 0.250 0.746
Ru 0.612 0.750 0.254
O 0.252 0.015 0.809
O 0.252 0.485 0.809
O 0.284 0.750 0.189
O 0.293 0.250 0.502
O 0.707 0.750 0.498
O 0.716 0.250 0.811
O 0.748 0.515 0.191
O 0.748 0.985 0.191

symmetry	P2_1/m (11)
energy above the most stable polymorph in this dataset	28	meV per atom
ρ	3.03	g cm⁻³
DFT total energy	-5.765	eV/atom
crystal system	monoclinic
formation energy (no corrections)	-1.293	eV/atom

---

VASP calculation (GGA-PBE) on crystalline CsKPtS2 at its relaxed geometry.

Cell lengths 7.067, 8.092, 5.738 Å; angles 90.00, 90.00, 90.00 degrees
Positions (direct):
Cs 0.250 0.000 0.193
Cs 0.750 0.000 0.807
K 0.250 0.500 0.039
K 0.750 0.500 0.961
Pt 0.000 0.500 0.500
Pt 0.500 0.500 0.500
S 0.250 0.308 0.575
S 0.250 0.692 0.575
S 0.750 0.308 0.425
S 0.750 0.692 0.425

symmetry	Pmma (51)
ρ	4.36	g cm⁻³
DFT total energy	-4.069	eV/atom
crystal system	orthorhombic
formation energy (no corrections)	-0.819	eV/atom

---

VASP calculation (GGA-PBE) on crystalline ScBH at its relaxed geometry.

Cell lengths 6.667, 6.667, 6.667 Å; angles 27.75, 27.75, 27.75 degrees
Positions (direct):
Sc 0.091 0.091 0.091
Sc 0.909 0.909 0.909
B 0.335 0.335 0.335
B 0.665 0.665 0.665
H 0.198 0.198 0.198
H 0.802 0.802 0.802

symmetry	R-3m (166)
energy above the most stable polymorph in this dataset	0	meV per atom
ρ	3.32	g cm⁻³
DFT total energy	-6.166	eV/atom
crystal system	trigonal